No. 1
Material: CsTlCo2Cl8
Method: DFT, PBE
State: relaxed

## Properties
formation energy (no corrections)	-894.8	meV per atom
space group	R-3, No. 148
DFT total energy	-3.58	eV per atom
total moment	0.67	μB per atom
N(E_F)	12.30	states/eV/f.u.

abc: 10.6737 10.6737 10.6737
angles: 37.39 37.39 37.39
Closest atoms and distances in Å follow each position.
Atoms (fractional coordinates):
Cs (0.0000, 0.0000, 0.0000)  12 Cl 3.76-3.95
Tl (0.5000, 0.5000, 0.5000)  6 Cl 3.24
Co (0.2546, 0.2546, 0.2546)  4 Cl 2.18
Co (0.7454, 0.7454, 0.7454)  4 Cl 2.18
Cl (0.0466, 0.4481, 0.8136)  1 Co 2.18
Cl (0.1864, 0.9534, 0.5519)  1 Co 2.18
Cl (0.3277, 0.3277, 0.3277)  1 Co 2.18
Cl (0.4481, 0.8136, 0.0466)  1 Co 2.18
Cl (0.5519, 0.1864, 0.9534)  1 Co 2.18
Cl (0.6723, 0.6723, 0.6723)  1 Co 2.18
Cl (0.8136, 0.0466, 0.4481)  1 Co 2.18
Cl (0.9534, 0.5519, 0.1864)  1 Co 2.18


No. 2
Material: CsTl2CoCl6
Method: DFT, PBE
State: relaxed

## Properties
formation energy (no corrections)	-1012.6	meV per atom
space group	P2_1/c, No. 14
DFT total energy	-3.39	eV per atom
total moment	0.01	μB per atom

abc: 7.1336 8.3361 12.4522
angles: 90.00 122.73 90.00
Closest atoms and distances in Å follow each position.
Atoms (fractional coordinates):
Cs (0.0000, 0.0000, 0.0000)  6 Cl 3.39-3.71
Cs (0.0000, 0.5000, 0.5000)  6 Cl 3.39-3.71
Tl (0.2147, 0.0314, 0.7303)  6 Cl 3.16-3.30
Tl (0.2147, 0.4686, 0.2303)  6 Cl 3.16-3.30
Tl (0.7853, 0.5314, 0.7697)  6 Cl 3.16-3.30
Tl (0.7853, 0.9686, 0.2697)  6 Cl 3.16-3.30
Co (0.5000, 0.0000, 0.5000)  6 Cl 2.27-2.29
Co (0.5000, 0.5000, 0.0000)  6 Cl 2.27-2.29
Cl (0.2206, 0.1443, 0.4899)  1 Co 2.27
Cl (0.2206, 0.3557, 0.9899)  1 Co 2.27
Cl (0.2560, 0.7060, 0.8924)  1 Co 2.29
Cl (0.2560, 0.7940, 0.3924)  1 Co 2.29
Cl (0.4191, 0.1098, 0.3121)  1 Co 2.28
Cl (0.4191, 0.3902, 0.8121)  1 Co 2.28
Cl (0.5809, 0.6098, 0.1879)  1 Co 2.28
Cl (0.5809, 0.8902, 0.6879)  1 Co 2.28
Cl (0.7440, 0.2060, 0.6076)  1 Co 2.29
Cl (0.7440, 0.2940, 0.1076)  1 Co 2.29
Cl (0.7794, 0.6443, 0.0101)  1 Co 2.27
Cl (0.7794, 0.8557, 0.5101)  1 Co 2.27


No. 3
Material: CsTlCoCl6
Method: DFT, PBE
State: relaxed

## Properties
formation energy (no corrections)	-953.9	meV per atom
space group	C2, No. 5
DFT total energy	-3.33	eV per atom
total moment	0.33	μB per atom
N(E_F)	2.43	states/eV/f.u.

abc: 6.6919 6.6919 7.7613
angles: 90.27 90.27 119.98
Closest atoms and distances in Å follow each position.
Atoms (fractional coordinates):
Cs (0.0000, 0.0000, 0.0000)  6 Cl 3.51-3.53
Tl (0.6666, 0.3334, 0.5000)  6 Cl 2.64-2.67
Co (0.3311, 0.6689, 0.5000)  6 Cl 2.41-2.46
Cl (0.0230, 0.3861, 0.6848)  1 Co 2.46, 1 Tl 2.64
Cl (0.0255, 0.6333, 0.3130)  1 Co 2.41, 1 Tl 2.67
Cl (0.3667, 0.9745, 0.6870)  1 Co 2.41, 1 Tl 2.67
Cl (0.3753, 0.3981, 0.3094)  1 Co 2.46, 1 Tl 2.65
Cl (0.6019, 0.6247, 0.6906)  1 Co 2.46, 1 Tl 2.65
Cl (0.6139, 0.9770, 0.3152)  1 Co 2.46, 1 Tl 2.64


No. 4
Material: Cs2CoWCl6
Method: DFT, PBE
State: relaxed

## Properties
formation energy (no corrections)	-993.7	meV per atom
space group	I4/mmm, No. 139
DFT total energy	-4.28	eV per atom
total moment	0.50	μB per atom
N(E_F)	0.00	states/eV/f.u.

abc: 7.1591 7.1591 7.1591
angles: 120.08 120.08 89.87
Closest atoms and distances in Å follow each position.
Atoms (fractional coordinates):
Cs (0.2500, 0.7500, 0.5000)  12 Cl 3.58
Cs (0.7500, 0.2500, 0.5000)  12 Cl 3.58
Co (0.0000, 0.0000, 0.0000)  6 Cl 2.57-2.58
W (0.5000, 0.5000, 0.0000)  6 Cl 2.49
Cl (0.2543, 0.2543, 0.0000)  1 W 2.49, 1 Co 2.58
Cl (0.2537, 0.2537, 0.5074)  1 W 2.49, 1 Co 2.57
Cl (0.2537, 0.7463, 0.0000)  1 W 2.49, 1 Co 2.57
Cl (0.7463, 0.2537, 0.0000)  1 W 2.49, 1 Co 2.57
Cl (0.7457, 0.7457, 0.0000)  1 W 2.49, 1 Co 2.58
Cl (0.7463, 0.7463, 0.4926)  1 W 2.49, 1 Co 2.57